[1]
Here is Cr3Co after structural relaxation from the Alexandria database. Energies are from PBE.

Cell lengths 5.0737, 5.0737, 4.0833 Å; angles 90.00, 90.00, 120.00 degrees
Closest atoms and distances in Å follow each position.
Fractional positions:
Cr1 0.1656 0.8344 0.7500  8 Cr 2.51-2.55, 4 Co 2.52-2.54
Co1 0.3333 0.6667 0.2500  12 Cr 2.52-2.54
Cr2 0.6688 0.8344 0.7500  8 Cr 2.51-2.55, 4 Co 2.52-2.54
Cr3 0.8344 0.1656 0.2500  8 Cr 2.51-2.55, 4 Co 2.52-2.54
Co2 0.6667 0.3333 0.7500  12 Cr 2.52-2.54
Cr4 0.8344 0.6688 0.2500  8 Cr 2.51-2.55, 4 Co 2.52-2.54
Cr5 0.3312 0.1656 0.2500  8 Cr 2.51-2.55, 4 Co 2.52-2.54
Cr6 0.1656 0.3312 0.7500  8 Cr 2.51-2.55, 4 Co 2.52-2.54

electronic total energy: -8.7672 eV per atom
calculated formation energy: 0.2268 eV per atom
mass density: 7.84 g/cm³

---

[2]
Here is Ta5FeRu4 after structural relaxation from the Alexandria database. Energies are from PBE.

Cell lengths 3.0741, 3.0741, 16.6881 Å; angles 90.00, 90.00, 90.00 degrees
Closest atoms and distances in Å follow each position.
Fractional positions:
Ta1 0.5000 0.5000 0.2948  8 Ru 2.70-2.75
Ru1 0.0000 0.0000 0.6097  8 Ta 2.70-2.84
Fe1 0.0000 0.0000 0.0000  8 Ta 2.66
Ru2 0.0000 0.0000 0.1940  8 Ta 2.75-2.77, 4 Ru 3.07
Ta2 0.5000 0.5000 0.0915  4 Fe 2.66, 4 Ru 2.77
Ru3 0.0000 0.0000 0.8060  8 Ta 2.75-2.77, 4 Ru 3.07
Ta3 0.5000 0.5000 0.5000  8 Ru 2.84, 4 Ta 3.07
Ta4 0.5000 0.5000 0.9085  4 Fe 2.66, 4 Ru 2.77
Ta5 0.5000 0.5000 0.7052  8 Ru 2.70-2.75
Ru4 0.0000 0.0000 0.3903  8 Ta 2.70-2.84

electronic total energy: -10.7770 eV per atom
calculated formation energy: -0.2941 eV per atom
mass density: 14.37 g/cm³

---

[3]
Here is MnCr2Ni after structural relaxation from the Alexandria database. Energies are from PBE.

Cell lengths 4.6632, 4.6632, 2.3843 Å; angles 81.74, 81.74, 116.18 degrees
Closest atoms and distances in Å follow each position.
Fractional positions:
Mn1 0.5000 0.0000 0.5000  2 Mn 2.38, 4 Cr 2.46, 2 Ni 2.46
Ni1 0.0000 0.5000 0.5000  2 Ni 2.38, 4 Cr 2.46, 2 Mn 2.46
Cr1 0.5000 0.5000 0.0000  4 Cr 2.38-2.46, 2 Mn 2.46, 2 Ni 2.46
Cr2 0.0000 0.0000 0.0000  4 Cr 2.38-2.46, 2 Ni 2.46, 2 Mn 2.46

electronic total energy: -8.4224 eV per atom
calculated formation energy: 0.1270 eV per atom
mass density: 8.07 g/cm³